Record 1
VASP calculation (PBE-GGA) on a geometry-optimized Mg2ZrAu structure.

Calculated values
Excess energy over the best structure of this formula in the dataset in eV per formula unit: 0.635
Size of the total moment in μB/f.u.: 0.000
N(E_F) in states/eV/cell: 4.69

abc: 4.7845 4.7845 4.7845
angles: 60.00 60.00 60.00
Fractional coordinates of all 4 atoms:
Mg 0.2500 0.2500 0.2500
Mg 0.7500 0.7500 0.7500
Au 0.5000 0.5000 0.5000
Zr 0.0000 0.0000 0.0000

Record 2
VASP calculation (PBE-GGA) on a geometry-optimized MgZrAu4 structure.

Calculated values
Excess energy over the best structure of this formula in the dataset in eV per formula unit: 1.950
Size of the total moment in μB/f.u.: 0.000
N(E_F) in states/eV/cell: 3.92

abc: 5.5051 5.5051 5.5051
angles: 60.00 60.00 60.00
Fractional coordinates of all 6 atoms:
Mg 0.7500 0.7500 0.7500
Zr 0.0000 0.0000 0.0000
Au 0.8748 0.3751 0.3751
Au 0.3751 0.3751 0.8748
Au 0.3751 0.8748 0.3751
Au 0.3751 0.3751 0.3751

Record 3
VASP calculation (PBE-GGA) on a geometry-optimized Mg2ZrAu6 structure.

Calculated values
Size of the total moment in μB/f.u.: 0.000
E in eV/atom: -3.946
N(E_F) in states/eV/cell: 9.26

abc: 5.0087 8.4229 8.4229
angles: 73.16 81.92 81.92
Fractional coordinates of all 18 atoms:
Mg 0.4138 0.5429 0.7954
Mg 0.0862 0.2046 0.4571
Mg 0.5862 0.4571 0.2046
Mg 0.9138 0.7954 0.5429
Zr 0.2500 0.1343 0.8657
Zr 0.7500 0.8657 0.1343
Au 0.4708 0.6787 0.4404
Au 0.0292 0.5596 0.3213
Au 0.5292 0.3213 0.5596
Au 0.9708 0.4404 0.6787
Au 0.6476 0.0930 0.3506
Au 0.8524 0.6494 0.9070
Au 0.3524 0.9070 0.6494
Au 0.1476 0.3506 0.0930
Au 0.3047 0.7664 0.0131
Au 0.1953 0.9869 0.2336
Au 0.6953 0.2336 0.9869
Au 0.8047 0.0131 0.7664

Record 4
VASP calculation (PBE-GGA) on a geometry-optimized MgZrAu3 structure.

Calculated values
Excess energy over the best structure of this formula in the dataset in eV per formula unit: 0.000
Size of the total moment in μB/f.u.: 0.000
N(E_F) in states/eV/cell: 5.65

abc: 4.9294 4.9382 9.2209
angles: 105.53 105.53 90.00
Fractional coordinates of all 10 atoms:
Mg 0.3721 0.1220 0.2440
Mg 0.6279 0.8780 0.7560
Zr 0.1338 0.3833 0.7665
Zr 0.8662 0.6167 0.2335
Au 0.7879 0.0378 0.0756
Au 0.2121 0.9622 0.9244
Au 0.4459 0.6962 0.3925
Au 0.5541 0.3038 0.6075
Au 0.0415 0.7916 0.5833
Au 0.9585 0.2084 0.4167